(1)
5
Lattice="4.1233 0.0000 0.0000 0.0000 4.1233 0.0000 0.0000 0.0000 6.1821" Properties=species:S:1:pos:R:3 comment="BeTeBrF2 PBEsol relaxed" m_tot_mub_per_cell=0.000 raw_formation_energy_ev_per_atom=0.02 energy_ev_per_atom=-2.63 pbc="T T T"
Te 0.0000 0.0000 3.0911
F 2.0616 0.0000 0.0000
F 0.0000 2.0616 0.0000
Br 0.0000 0.0000 0.0000
Be 2.0616 2.0616 3.0911

=====

(2)
4
Lattice="3.4538 0.0000 0.0000 -1.7269 2.9931 0.0123 0.0000 -0.0626 7.0429" Properties=species:S:1:pos:R:3 comment="BeFeBr2 PBEsol relaxed" m_tot_mub_per_cell=2.032 raw_formation_energy_ev_per_atom=-0.03 e_above_lowest_polymorph_mev_per_atom=23 energy_ev_per_atom=-4.20 pbc="T T T"
Br 1.7269 2.7275 0.6778
Br 1.7269 0.7159 4.5272
Be 0.0000 1.7225 3.2495
Fe 1.7269 0.7264 2.1345

=====

(3)
4
Lattice="3.1702 0.0000 0.0000 0.0000 3.1702 0.0000 0.0000 0.0000 6.5105" Properties=species:S:1:pos:R:3 comment="BeFeBr2 PBEsol relaxed" m_tot_mub_per_cell=2.756 raw_formation_energy_ev_per_atom=0.66 e_above_lowest_polymorph_mev_per_atom=712 energy_ev_per_atom=-3.52 pbc="T T T"
Fe 1.5851 1.5851 0.0000
Br 0.0000 0.0000 1.6237
Br 0.0000 0.0000 4.8868
Be 1.5851 1.5851 3.2552

=====

(4)
4
Lattice="3.3353 0.0000 0.0000 0.0000 3.3344 0.0532 0.0000 -0.1275 6.6247" Properties=species:S:1:pos:R:3 comment="BeFeBr2 PBEsol relaxed" m_tot_mub_per_cell=2.000 raw_formation_energy_ev_per_atom=-0.05 e_above_lowest_polymorph_mev_per_atom=0 energy_ev_per_atom=-4.23 pbc="T T T"
Br 0.0000 0.3092 5.9379
Br 1.6676 2.0324 2.3828
Fe 0.0000 2.0045 4.1739
Be 1.6676 0.3367 4.1469

=====

(5)
6
Lattice="4.4197 0.0000 0.0000 2.2098 3.8276 0.0000 2.2098 1.2759 3.6087" Properties=species:S:1:pos:R:3 comment="Be4FeBr PBEsol relaxed" m_tot_mub_per_cell=1.045 raw_formation_energy_ev_per_atom=0.53 energy_ev_per_atom=-3.94 pbc="T T T"
Be 5.5507 1.8987 1.3426
Be 4.4197 2.5517 3.1896
Be 4.4197 3.8577 1.3426
Be 3.2886 1.8987 1.3426
Fe 0.0000 0.0000 0.0000
Br 6.6295 3.8276 2.7065

=====

(6)
4
Lattice="3.2196 0.0000 0.0000 -1.6098 3.0253 0.0000 0.0000 0.0000 8.5247" Properties=species:S:1:pos:R:3 comment="BeFeBr2 PBEsol relaxed" m_tot_mub_per_cell=3.041 raw_formation_energy_ev_per_atom=0.15 e_above_lowest_polymorph_mev_per_atom=197 energy_ev_per_atom=-4.03 pbc="T T T"
Fe 0.0000 0.0000 4.5270
Br 1.6098 0.0000 2.7462
Br 0.0000 0.0000 7.7440
Be 1.6098 0.0000 6.2947

=====

(7)
4
Lattice="3.2911 0.0000 0.0000 0.0000 3.7036 0.0000 0.0000 0.0000 6.1835" Properties=species:S:1:pos:R:3 comment="BeFeBr2 PBEsol relaxed" m_tot_mub_per_cell=2.778 raw_formation_energy_ev_per_atom=0.58 e_above_lowest_polymorph_mev_per_atom=632 energy_ev_per_atom=-3.59 pbc="T T T"
Br 1.6456 0.0000 3.0918
Br 0.0000 0.0000 0.0000
Fe 1.6456 1.8518 0.0000
Be 0.0000 1.8518 3.0918

=====

(8)
4
Lattice="3.1841 0.0000 0.0000 -1.5920 3.0645 0.0000 0.0000 0.0000 7.4256" Properties=species:S:1:pos:R:3 comment="BeFeBr2 PBEsol relaxed" m_tot_mub_per_cell=2.773 raw_formation_energy_ev_per_atom=0.51 e_above_lowest_polymorph_mev_per_atom=561 energy_ev_per_atom=-3.67 pbc="T T T"
Br 0.0000 0.0000 1.6632
Br 0.0000 0.0000 5.7624
Be 1.5920 0.0000 0.0000
Fe 1.5920 0.0000 3.7128

=====

(9)
8
Lattice="-0.2329 -2.5557 -4.9264 1.2119 -3.5097 4.8950 -4.1249 -3.2190 1.8649" Properties=species:S:1:pos:R:3 comment="Be2GaBr PBEsol relaxed" m_tot_mub_per_cell=0.000 raw_formation_energy_ev_per_atom=0.44 energy_ev_per_atom=-2.86 pbc="T T T"
Be -2.7306 -5.7803 4.6642
Be -0.3194 -2.2533 -0.3818
Be -0.7824 -5.4247 1.3148
Be -2.4595 -5.1104 -1.9300
Br 0.0000 0.0000 0.0000
Br -2.6624 -6.0858 0.1514
Ga -0.4835 -3.1985 1.6822
Ga -2.1789 -2.8873 -1.5307

=====

(10)
5
Lattice="4.2145 0.0000 0.0000 0.0000 4.2145 0.0000 0.0000 0.0000 5.7009" Properties=species:S:1:pos:R:3 comment="Be2GaGeBr PBEsol relaxed" m_tot_mub_per_cell=0.000 raw_formation_energy_ev_per_atom=0.39 energy_ev_per_atom=-3.24 pbc="T T T"
Be 2.1073 0.0000 0.0000
Be 0.0000 2.1073 0.0000
Br 2.1073 2.1073 2.8504
Ga 0.0000 0.0000 2.8504
Ge 0.0000 0.0000 0.0000

=====

(11)
5
Lattice="4.7396 0.0000 0.0000 0.0000 4.6406 0.0000 0.0000 0.0000 4.6406" Properties=species:S:1:pos:R:3 comment="BeGaSiBr2 PBEsol relaxed" m_tot_mub_per_cell=0.003 raw_formation_energy_ev_per_atom=0.46 energy_ev_per_atom=-2.91 pbc="T T T"
Br 0.0000 0.0000 2.3203
Br 0.0000 2.3203 0.0000
Si 2.3698 2.3203 2.3203
Be 0.0000 0.0000 0.0000
Ga 2.3698 0.0000 0.0000

=====

(12)
5
Lattice="-0.8545 -4.2178 -0.5689 3.1594 -1.0175 2.7976 -2.8515 0.1367 3.2701" Properties=species:S:1:pos:R:3 comment="Be3GeBr PBEsol relaxed" m_tot_mub_per_cell=0.001 raw_formation_energy_ev_per_atom=1.38 energy_ev_per_atom=-2.39 pbc="T T T"
Be 1.5797 -0.5087 1.3988
Be -0.4273 -2.1089 -0.2845
Be -1.4258 0.0683 1.6351
Ge -0.2733 -2.5493 2.7494
Br 0.0000 0.0000 0.0000